[1]
Here is a relaxed structure of LiZrPd2 from Alexandria. Energies are from GGA-PBE.

Unit cell a=4.5384 b=4.5384 c=3.2524 alpha=90.00 beta=90.00 gamma=90.00
Last column: nearest neighbours and their distance in Å.
Positions (direct):
Li: 0.0000 0.0000 0.0000  8 Pd 2.79
Zr: 0.5000 0.5000 0.0000  8 Pd 2.79
Pd: 0.0000 0.5000 0.5000  4 Zr 2.79, 4 Li 2.79
Pd: 0.5000 0.0000 0.5000  4 Zr 2.79, 4 Li 2.79

Calculated formation energy, eV per formula unit: -2.1
Final energy, eV/f.u.: -22.933
Total magnetization, μB/cell: 0.000

***

[2]
Here is a relaxed structure of Pu4Np2Ge3 from Alexandria. Energies are from GGA-PBE.

Unit cell a=9.3291 b=9.3291 c=5.2990 alpha=98.74 beta=98.74 gamma=111.58
Last column: nearest neighbours and their distance in Å.
Positions (direct):
Pu: 0.1039 0.6942 0.9120  2 Np 2.49-2.56
Pu: 0.3016 0.3460 0.3354  1 Np 2.51, 2 Pu 2.74
Pu: 0.3058 0.8961 0.5880  2 Np 2.49-2.56
Pu: 0.3460 0.3016 0.8354  1 Np 2.51, 2 Pu 2.74
Pu: 0.6540 0.6984 0.1646  1 Np 2.51, 2 Pu 2.74
Pu: 0.6942 0.1039 0.4120  2 Np 2.49-2.56
Pu: 0.6984 0.6540 0.6646  1 Np 2.51, 2 Pu 2.74
Pu: 0.8961 0.3058 0.0880  2 Np 2.49-2.56
Np: 0.1671 0.5212 0.2060  3 Pu 2.49-2.56
Np: 0.4788 0.8329 0.2940  3 Pu 2.49-2.56
Np: 0.5212 0.1671 0.7060  3 Pu 2.49-2.56
Np: 0.8329 0.4788 0.7940  3 Pu 2.49-2.56
Ge: 0.0442 0.3279 0.6262  5 Pu 2.92-3.07, 3 Np 2.98-3.16, 1 Ge 3.19
Ge: 0.3279 0.0442 0.1262  5 Pu 2.92-3.07, 3 Np 2.98-3.16, 1 Ge 3.19
Ge: 0.3713 0.6287 0.7500  6 Pu 2.96-3.08, 2 Np 3.00, 2 Ge 3.19
Ge: 0.6287 0.3713 0.2500  6 Pu 2.96-3.08, 2 Np 3.00, 2 Ge 3.19
Ge: 0.6721 0.9558 0.8738  5 Pu 2.92-3.07, 3 Np 2.98-3.16, 1 Ge 3.19
Ge: 0.9558 0.6721 0.3738  5 Pu 2.92-3.07, 3 Np 2.98-3.16, 1 Ge 3.19

Calculated formation energy, eV per formula unit: 0.0
Final energy, eV/f.u.: -97.106
Total magnetization, μB/cell: 29.936